(1)
Density functional theory data (PBE-GGA) for a geometry-optimized La4TbHo6 structure. Values from VASP.

Geometry as Quantum ESPRESSO input:
```
&SYSTEM
  ibrav = 0, nat = 11, ntyp = 3
/
ATOMIC_SPECIES
La 138.91 La.upf
Tb 158.93 Tb.upf
Ho 164.93 Ho.upf
ATOMIC_POSITIONS angstrom
La 2.096 -2.096 5.470
La 1.287 1.287 2.993
La -2.096 2.096 5.470
La 2.096 2.096 11.455
Tb 0.000 0.000 0.000
Ho 3.383 0.000 0.000
Ho 2.200 2.200 -1.996
Ho 1.183 -1.183 10.458
Ho 0.000 3.383 0.000
Ho 1.183 1.183 6.466
Ho -1.183 1.183 10.458
CELL_PARAMETERS angstrom
-3.383 3.383 8.462
3.383 -3.383 8.462
3.383 3.383 -8.462
```

Results
DOS(E_F): 1.37 states/eV/atom
E_tot: -4.42 eV per atom
Magnetic moment: 0.00 μB/f.u.
Energy relative to the elements: 0.2934 eV/atom
Calculated density: 7.30 g/cm3



(2)
Density functional theory data (PBE-GGA) for a geometry-optimized La3Tb2Ho8 structure. Values from VASP.

Geometry as Quantum ESPRESSO input:
```
&SYSTEM
  ibrav = 0, nat = 13, ntyp = 3
/
ATOMIC_SPECIES
La 138.91 La.upf
Tb 158.93 Tb.upf
Ho 164.93 Ho.upf
ATOMIC_POSITIONS angstrom
La 0.000 0.000 0.000
La 10.087 1.554 2.822
La 10.087 -1.554 2.822
Tb 4.852 0.000 5.629
Tb 15.322 0.000 0.015
Ho 2.753 0.000 2.816
Ho 7.865 1.608 5.640
Ho 6.599 0.000 2.810
Ho 12.310 1.608 0.004
Ho 7.865 -1.608 5.640
Ho 13.575 0.000 2.834
Ho 12.310 -1.608 0.004
Ho 17.421 0.000 2.828
CELL_PARAMETERS angstrom
10.093 -3.872 0.000
10.093 3.872 0.000
-0.011 0.000 5.644
```

Results
DOS(E_F): 1.74 states/eV/atom
E_tot: -4.41 eV per atom
Magnetic moment: 0.00 μB/f.u.
Offset from the most stable computed form: 0.223 eV/atom
Energy relative to the elements: 0.2541 eV/atom
Calculated density: 7.73 g/cm3



(3)
Density functional theory data (PBE-GGA) for a geometry-optimized La4Tb5Ho2 structure. Values from VASP.

Geometry as Quantum ESPRESSO input:
```
&SYSTEM
  ibrav = 0, nat = 11, ntyp = 3
/
ATOMIC_SPECIES
La 138.91 La.upf
Tb 158.93 Tb.upf
Ho 164.93 Ho.upf
ATOMIC_POSITIONS angstrom
La 0.451 0.000 3.074
La 6.215 0.000 2.399
La 10.734 0.000 9.326
La 16.498 0.000 8.650
Tb 1.279 0.000 6.317
Tb 3.118 0.000 0.841
Tb 8.904 0.000 0.000
Tb 13.831 0.000 10.884
Tb 15.670 0.000 5.408
Ho 4.515 0.000 7.523
Ho 12.434 0.000 4.201
CELL_PARAMETERS angstrom
8.904 -1.780 0.000
8.904 1.780 0.000
-0.858 0.000 11.725
```

Results
DOS(E_F): 1.65 states/eV/atom
E_tot: -4.64 eV per atom
Magnetic moment: 0.00 μB/f.u.
Offset from the most stable computed form: 0.000 eV/atom
Energy relative to the elements: 0.0863 eV/atom
Calculated density: 7.51 g/cm3



(4)
Density functional theory data (PBE-GGA) for a geometry-optimized La7Tb2Ho2 structure. Values from VASP.

Geometry as Quantum ESPRESSO input:
```
&SYSTEM
  ibrav = 0, nat = 11, ntyp = 3
/
ATOMIC_SPECIES
La 138.91 La.upf
Tb 158.93 Tb.upf
Ho 164.93 Ho.upf
ATOMIC_POSITIONS angstrom
La 0.000 0.000 0.000
La 1.691 3.042 3.118
La 1.691 3.042 6.671
La 1.691 -3.042 3.118
La 1.691 -3.042 6.671
La 3.382 0.000 1.709
La 3.382 0.000 8.080
Tb 3.382 2.823 0.000
Tb 3.382 -2.823 0.000
Ho 1.705 0.000 4.895
Ho 5.059 0.000 4.895
CELL_PARAMETERS angstrom
3.382 -6.084 0.000
3.382 6.084 0.000
0.000 0.000 9.790
```

Results
DOS(E_F): 1.58 states/eV/atom
E_tot: -4.51 eV per atom
Magnetic moment: 0.00 μB/f.u.
Offset from the most stable computed form: 0.178 eV/atom
Energy relative to the elements: 0.2987 eV/atom
Calculated density: 6.68 g/cm3



(5)
Density functional theory data (PBE-GGA) for a geometry-optimized La2Tb2Ho3 structure. Values from VASP.

Geometry as Quantum ESPRESSO input:
```
&SYSTEM
  ibrav = 0, nat = 7, ntyp = 3
/
ATOMIC_SPECIES
La 138.91 La.upf
Tb 158.93 Tb.upf
Ho 164.93 Ho.upf
ATOMIC_POSITIONS angstrom
La 0.004 2.163 3.814
La 1.804 2.715 6.950
Tb 0.001 0.006 8.501
Tb 1.806 4.872 2.263
Ho 0.000 3.262 10.024
Ho 1.802 -0.527 5.382
Ho 1.808 1.616 0.740
CELL_PARAMETERS angstrom
3.608 0.000 0.000
-1.797 5.932 0.000
-0.003 -1.053 10.764
```

Results
DOS(E_F): 1.40 states/eV/atom
E_tot: -4.67 eV per atom
Magnetic moment: 0.00 μB/f.u.
Offset from the most stable computed form: 0.000 eV/atom
Energy relative to the elements: 0.0222 eV/atom
Calculated density: 7.86 g/cm3



(6)
Density functional theory data (PBE-GGA) for a geometry-optimized La3Tb8Ho4 structure. Values from VASP.

Geometry as Quantum ESPRESSO input:
```
&SYSTEM
  ibrav = 0, nat = 15, ntyp = 3
/
ATOMIC_SPECIES
La 138.91 La.upf
Tb 158.93 Tb.upf
Ho 164.93 Ho.upf
ATOMIC_POSITIONS angstrom
La 0.000 0.000 0.000
La 1.659 3.209 2.941
La 1.659 -3.209 2.941
Tb 5.026 4.582 2.941
Tb 1.359 0.000 2.988
Tb -0.129 0.000 5.852
Tb 6.735 3.251 0.000
Tb 6.735 -3.251 0.000
Tb 10.181 0.000 0.031
Tb 8.693 0.000 2.895
Tb 5.026 -4.582 2.941
Ho 3.367 3.209 0.000
Ho 3.367 -3.209 0.000
Ho 6.735 0.000 0.000
Ho 5.026 0.000 2.941
CELL_PARAMETERS angstrom
6.735 -6.419 0.000
6.735 6.419 0.000
-3.417 0.000 5.882
```

Results
DOS(E_F): 1.95 states/eV/atom
E_tot: -4.29 eV per atom
Magnetic moment: 0.00 μB/f.u.
Energy relative to the elements: 0.3832 eV/atom
Calculated density: 7.67 g/cm3